[1]
A plane-wave DFT calculation with PBE was carried out for a geometry-optimized LaPuTl2O8 structure.

a b c (Å): 5.292 5.299 7.054
angles (deg): 87.50 87.52 92.16
Fractional positions:
Tl  0.492  0.492  0.752
Tl  0.508  0.508  0.248
O  0.704  0.702  0.011
O  0.313  0.313  0.480
O  0.825  0.168  0.206
O  0.169  0.826  0.206
O  0.175  0.832  0.794
O  0.687  0.687  0.520
O  0.296  0.298  0.989
O  0.831  0.174  0.794
La  0.000  0.000  0.500
Pu  0.000  0.000  0.000

energy relative to the elements, uncorrected	-1.8280	eV/atom
D(E_F)	0.0190	states/eV per atom
symmetry	C2/m, No. 12


[2]
A plane-wave DFT calculation with PBE was carried out for a geometry-optimized KLa2Tl structure.

a b c (Å): 4.914 5.322 5.322
angles (deg): 90.00 90.00 90.00
Fractional positions:
La  0.000  0.500  0.500
La  0.000  0.000  0.000
K  0.500  0.000  0.500
Tl  0.500  0.500  0.000

energy above the most stable polymorph in this dataset	114	meV/atom
D(E_F)	1.2078	states/eV per atom
symmetry	P4/mmm, No. 123
formation energy	0.098	eV per atom


[3]
A plane-wave DFT calculation with PBE was carried out for a geometry-optimized AcErTlAu structure.

a b c (Å): 5.477 5.477 5.477
angles (deg): 60.00 60.00 60.00
Fractional positions:
Er  0.250  0.250  0.250
Ac  0.750  0.750  0.750
Tl  0.000  0.000  0.000
Au  0.500  0.500  0.500

D(E_F)	0.6853	states/eV per atom
symmetry	F-43m, No. 216
formation energy	-0.490	eV per atom


[4]
A plane-wave DFT calculation with PBE was carried out for a geometry-optimized Nd9HoTl2 structure.

a b c (Å): 5.012 5.012 15.401
angles (deg): 90.00 90.00 90.00
Fractional positions:
Nd  0.500  0.000  0.500
Nd  0.000  0.500  0.828
Nd  0.500  0.000  0.828
Nd  0.000  0.500  0.172
Nd  0.500  0.000  0.172
Nd  0.000  0.500  0.500
Nd  0.500  0.500  0.663
Nd  0.500  0.500  0.337
Nd  0.500  0.500  0.000
Tl  0.000  0.000  0.339
Tl  0.000  0.000  0.661
Ho  0.000  0.000  0.000

D(E_F)	1.2902	states/eV per atom
symmetry	P4/mmm, No. 123
formation energy	-0.127	eV per atom